Version A
The following is a GGA-PBEsol calculation of a relaxed structure of Zn5Cu3, from the Alexandria database.

The structure in POSCAR format:
```
Zn5Cu3
1.0
-4.696 4.696 2.347
4.696 -4.696 2.347
4.696 4.696 -2.347
Zn Cu
10 6
direct
0.074 0.772 0.845
0.228 0.074 0.302
0.250 0.750 0.500
0.272 0.574 0.845
0.426 0.272 0.698
0.574 0.728 0.302
0.728 0.426 0.155
0.750 0.250 0.500
0.772 0.926 0.698
0.926 0.228 0.155
0.173 0.327 0.500
0.250 0.250 0.000
0.327 0.827 0.154
0.673 0.173 0.846
0.750 0.750 0.000
0.827 0.673 0.500
```

Output
total moment: 0.00 Bohr magnetons per cell
mass density: 8.303 g cm⁻³

---

Version B
The following is a GGA-PBEsol calculation of a relaxed structure of Zn5Cu3, from the Alexandria database.

The structure in POSCAR format:
```
Zn5Cu3
1.0
7.115 0.000 0.000
-3.558 6.162 0.000
0.000 0.000 4.794
Zn Cu
10 6
direct
0.000 0.231 0.250
0.000 0.769 0.750
0.231 0.000 0.250
0.231 0.231 0.750
0.333 0.667 0.000
0.333 0.667 0.500
0.667 0.333 0.000
0.667 0.333 0.500
0.769 0.000 0.750
0.769 0.769 0.250
0.000 0.401 0.750
0.000 0.599 0.250
0.401 0.000 0.750
0.401 0.401 0.250
0.599 0.000 0.250
0.599 0.599 0.750
```

Output
total moment: 0.00 Bohr magnetons per cell
mass density: 8.179 g cm⁻³

---

Result of the stability comparison: version B is the least stable of them.

---

Version A
The following is a GGA-PBEsol calculation of a relaxed structure of Mg3Tc2, from the Alexandria database.

The structure in POSCAR format:
```
Mg3Tc2
1.0
0.000 2.336 11.885
1.539 0.000 11.885
1.539 2.336 0.000
Mg Tc
3 2
direct
0.000 0.000 0.000
0.388 0.388 0.612
0.612 0.612 0.388
0.208 0.208 0.792
0.792 0.792 0.208
```

Output
total moment: 0.00 Bohr magnetons per cell
mass density: 5.224 g cm⁻³

---

Version B
The following is a GGA-PBEsol calculation of a relaxed structure of Mg3Tc2, from the Alexandria database.

The structure in POSCAR format:
```
Mg3Tc2
1.0
4.472 0.000 0.000
-2.236 3.873 0.000
0.000 0.000 5.498
Mg Tc
3 2
direct
0.000 0.000 0.000
0.333 0.667 0.392
0.667 0.333 0.608
0.333 0.667 0.928
0.667 0.333 0.072
```

Output
total moment: 0.00 Bohr magnetons per cell
mass density: 4.688 g cm⁻³

---

Result of the stability comparison: version B is the least stable of them.

---

Version A
The following is a GGA-PBEsol calculation of a relaxed structure of InHg2Cl, from the Alexandria database.

The structure in POSCAR format:
```
InHg2Cl
1.0
4.036 0.000 0.000
0.000 5.713 0.000
-0.270 0.000 4.497
In Hg Cl
1 2 1
direct
0.000 0.000 0.000
0.248 0.500 0.749
0.752 0.500 0.251
0.500 0.000 0.500
```

Output
total moment: 0.00 Bohr magnetons per cell
mass density: 8.830 g cm⁻³

---

Version B
The following is a GGA-PBEsol calculation of a relaxed structure of InHg2Cl, from the Alexandria database.

The structure in POSCAR format:
```
InHg2Cl
1.0
3.272 0.000 0.000
0.000 5.294 0.000
0.000 0.000 5.695
In Hg Cl
1 2 1
direct
0.000 0.000 0.000
0.500 0.500 0.256
0.500 0.500 0.744
0.000 0.000 0.500
```

Output
total moment: 0.00 Bohr magnetons per cell
mass density: 9.284 g cm⁻³

---

Result of the stability comparison: version B is the least stable of them.

---

Version A
The following is a GGA-PBEsol calculation of a relaxed structure of Ag2Hg, from the Alexandria database.

The structure in POSCAR format:
```
Ag2Hg
1.0
4.705 0.000 0.000
-2.353 4.075 0.000
0.000 0.000 5.681
Ag Hg
4 2
direct
0.000 0.000 0.000
0.000 0.000 0.500
0.333 0.667 0.250
0.667 0.333 0.750
0.333 0.667 0.750
0.667 0.333 0.250
```

Output
total moment: 0.00 Bohr magnetons per cell
mass density: 12.694 g cm⁻³

---

Version B
The following is a GGA-PBEsol calculation of a relaxed structure of Ag2Hg, from the Alexandria database.

The structure in POSCAR format:
```
Ag2Hg
1.0
5.379 -1.490 0.000
5.379 1.490 0.000
-1.791 0.000 6.715
Ag Hg
4 2
direct
0.000 0.000 0.000
0.057 0.057 0.609
0.337 0.337 0.668
0.669 0.669 0.338
0.393 0.393 0.285
0.718 0.718 0.934
```

Output
total moment: 0.00 Bohr magnetons per cell
mass density: 12.848 g cm⁻³

---

Result of the stability comparison: version A is the least stable of them.

---

Version A
The following is a GGA-PBEsol calculation of a relaxed structure of FeTcBr2, from the Alexandria database.

The structure in POSCAR format:
```
FeTcBr2
1.0
4.476 0.000 0.000
0.000 4.476 0.000
0.000 0.000 3.138
Fe Tc Br
1 1 2
direct
0.000 0.000 0.000
0.500 0.500 0.000
0.000 0.500 0.500
0.500 0.000 0.500
```

Output
total moment: 3.62 Bohr magnetons per cell
mass density: 8.285 g cm⁻³

---

Version B
The following is a GGA-PBEsol calculation of a relaxed structure of FeTcBr2, from the Alexandria database.

The structure in POSCAR format:
```
FeTcBr2
1.0
2.997 0.000 0.000
0.000 2.997 0.000
0.000 0.000 7.882
Fe Tc Br
1 1 2
direct
0.000 0.000 0.000
0.500 0.500 0.813
0.000 0.000 0.597
0.500 0.500 0.196
```

Output
total moment: 1.20 Bohr magnetons per cell
mass density: 7.357 g cm⁻³

---

Result of the stability comparison: version A is the least stable of them.

---

Version A
The following is a GGA-PBEsol calculation of a relaxed structure of Sr2AlAs, from the Alexandria database.

The structure in POSCAR format:
```
Sr2AlAs
1.0
-2.259 2.259 5.503
2.259 -2.259 5.503
2.259 2.259 -5.503
Sr Al As
2 1 1
direct
0.000 0.000 0.000
0.750 0.250 0.500
0.500 0.500 0.000
0.250 0.750 0.500
```

Output
total moment: 0.00 Bohr magnetons per cell
mass density: 4.096 g cm⁻³

---

Version B
The following is a GGA-PBEsol calculation of a relaxed structure of Sr2AlAs, from the Alexandria database.

The structure in POSCAR format:
```
Sr2AlAs
1.0
4.466 0.000 0.000
0.000 4.466 0.000
0.000 0.000 6.390
Sr Al As
2 1 1
direct
0.000 0.000 0.000
0.500 0.500 0.413
0.000 0.000 0.522
0.500 0.500 0.898
```

Output
total moment: 0.00 Bohr magnetons per cell
mass density: 3.611 g cm⁻³

---

Result of the stability comparison: version B is the least stable of them.